Entry 1:
DFT (PBE) results for a relaxed structure of NaCd6Bi2.

V = 231.3 Å³/f.u.
DFT formation energy = -0.03 eV per atom

POSCAR file:
```
NaCd6Bi2
1.0
4.5175 0.0000 -1.3509
-0.6755 6.9711 -2.2590
-0.2685 0.2627 7.3309
Na Cd Bi
1 6 2
Cartesian
1.9210 3.4856 -1.8050 Na
0.9820 5.9694 3.2837 Cd
2.5915 1.2644 0.4373 Cd
2.6100 5.8564 0.4991 Cd
0.3645 3.5181 1.2188 Cd
0.9635 1.3775 3.2219 Cd
3.2090 3.7157 2.5022 Cd
3.8328 1.4320 4.5880 Bi
-0.2593 5.8018 -0.8670 Bi
```


Entry 2:
DFT (PBE) results for a relaxed structure of Tb3Sm2S4.

Raw formation energy = -1.7808 eV/atom
V = 214.2 Å³/f.u.

POSCAR file:
```
Tb3Sm2S4
1.0
3.8123 0.0000 0.9378
1.6816 6.4504 1.3817
-0.1358 0.6115 8.7703
Tb Sm S
3 2 4
Cartesian
0.0000 0.0000 0.0000 Tb
1.4123 2.6640 2.4765 Tb
3.9458 4.3978 8.6133 Tb
2.5414 1.6580 6.1046 Sm
2.8168 5.4039 4.9851 Sm
3.1823 0.8350 3.4990 S
2.1758 6.2269 7.5908 S
1.9002 2.5047 8.7113 S
3.4580 4.5572 2.3784 S
```


Entry 3:
DFT (PBE) results for a relaxed structure of TlSeI2N.

Raw formation energy = 0.4441 eV/atom
V = 152.4 Å³/f.u.

POSCAR file:
```
TlSeI2N
1.0
-1.0399 -2.3151 5.8541
-2.7068 -5.1925 -2.5343
3.3347 -1.6995 -0.0797
I Tl Se N
2 1 1 1
Cartesian
-1.3534 -2.5962 -1.2672 I
-0.5200 -1.1576 2.9270 I
-0.2060 -4.6035 1.6200 Tl
0.0000 0.0000 0.0000 Se
1.6674 -0.8497 -0.0399 N
```


Entry 4:
DFT (PBE) results for a relaxed structure of AlTlTe2.

Raw formation energy = 0.1416 eV/atom
V = 116.0 Å³/f.u.

POSCAR file:
```
AlTlTe2
1.0
-0.0207 1.6690 4.4574
-1.6630 -4.3550 1.6229
4.6475 -1.5504 0.6021
Tl Te Al
1 2 1
Cartesian
-0.8419 -1.3430 3.0402 Tl
0.0000 0.0000 0.0000 Te
1.4922 -2.9527 1.1125 Te
2.3134 0.0593 2.5297 Al
```


Entry 5:
DFT (PBE) results for a relaxed structure of CaICl6.

Raw formation energy = -0.8365 eV/atom
V = 270.6 Å³/f.u.

POSCAR file:
```
CaICl6
1.0
6.8114 0.2493 -1.2290
-1.8402 6.0341 -2.7509
0.1377 -0.7038 6.8447
Ca I Cl
1 1 6
Cartesian
0.0000 0.0000 0.0000 Ca
2.5544 2.7898 1.4324 I
3.9865 3.0108 3.4840 Cl
3.3981 5.0152 0.6296 Cl
1.7107 0.5644 2.2352 Cl
1.1224 2.5687 -0.6192 Cl
4.8373 1.4371 0.0120 Cl
0.2715 4.1424 2.8528 Cl
```


Entry 6:
DFT (PBE) results for a relaxed structure of TbSm3Dy6Th2.

V = 385.9 Å³/f.u.
DFT formation energy = 0.02 eV per atom

POSCAR file:
```
TbSm3Dy6Th2
1.0
-5.0903 3.5299 0.0816
0.5298 -4.5703 -4.1484
-3.4587 -7.0091 8.8266
Tb Sm Dy Th
1 3 6 2
Cartesian
0.0000 0.0000 0.0000 Tb
-2.1343 -6.7276 0.9684 Sm
-5.8849 -1.3219 3.7914 Sm
-4.0096 -4.0248 2.3799 Sm
-6.9715 -4.6977 4.3219 Dy
-4.2490 -2.5015 -0.8552 Dy
-1.0477 -3.3519 0.4379 Dy
-5.0758 -7.4299 2.8951 Dy
-3.7702 -5.5481 5.6150 Dy
-2.9433 -0.6197 1.8647 Dy
-1.3437 -1.8700 -2.7383 Th
-3.2167 0.8296 -1.3285 Th
```


Entry 7:
DFT (PBE) results for a relaxed structure of LiSbAu2.

Raw formation energy = -0.2972 eV/atom
V = 75.9 Å³/f.u.

POSCAR file:
```
LiSbAu2
1.0
4.2857 0.0151 0.0000
-0.1600 4.2827 0.0000
0.0000 0.0000 4.1324
Sb Au Li
1 2 1
Cartesian
-0.0800 2.1413 2.0662 Sb
0.0000 0.0000 0.0000 Au
2.0628 2.1489 0.0000 Au
2.1428 0.0076 2.0662 Li
```


Entry 8:
DFT (PBE) results for a relaxed structure of Sm6RhO12.

Raw formation energy = -2.8231 eV/atom
V = 281.0 Å³/f.u.

POSCAR file:
```
Sm6RhO12
1.0
-5.2147 -3.6084 -1.9388
4.7562 -3.3938 -3.1359
0.7826 -2.5894 6.0544
Sm Rh O
6 1 12
Cartesian
0.7733 -6.4024 -1.6770 Sm
-1.6099 -3.6311 -1.2861 Sm
2.4043 -3.3975 -0.3269 Sm
-0.4493 -3.1891 2.6567 Sm
1.9339 -5.9605 2.2658 Sm
-2.0803 -6.1941 1.3066 Sm
0.0000 0.0000 0.0000 Rh
-1.3011 -5.9282 -0.8824 O
2.2220 -5.7164 0.0260 O
-0.3404 -5.5389 2.6115 O
1.6251 -3.6634 1.8621 O
-1.8980 -3.8752 0.9537 O
0.6644 -4.0527 -1.6318 O
4.4734 -4.2824 -1.3712 O
3.9029 -4.9330 3.3711 O
0.7883 -5.7996 -4.0834 O
-4.1494 -5.3092 2.3509 O
-3.5789 -4.6586 -2.3914 O
-0.4643 -3.7920 5.0631 O
```


Entry 9:
DFT (PBE) results for a relaxed structure of OsBr2.

Raw formation energy = 0.3946 eV/atom
V = 68.6 Å³/f.u.

POSCAR file:
```
OsBr2
1.0
-3.5766 -0.8017 -1.1121
1.9738 -11.4043 1.8734
-1.9312 0.6134 5.7686
Os Br
4 8
Cartesian
-0.4469 -7.1954 3.3263 Os
-2.7503 -9.8928 6.0822 Os
-0.7837 -1.6998 0.4477 Os
-3.0871 -4.3971 3.2036 Os
-0.4433 -10.9967 6.0547 Br
-2.2073 -6.2651 1.7209 Br
-1.3267 -5.3274 4.8091 Br
-3.0907 -0.5959 0.4752 Br
-1.2781 -2.6824 2.7461 Br
-3.9989 -2.9679 5.1058 Br
0.4649 -8.6247 1.4242 Br
-2.2559 -8.9102 3.7839 Br
```


Entry 10:
DFT (PBE) results for a relaxed structure of AlZnP2.

V = 65.7 Å³/f.u.
DFT formation energy = -0.08 eV per atom

POSCAR file:
```
AlZnP2
1.0
-0.3714 3.4854 -0.9043
-0.3755 0.9485 -3.4732
-5.9999 0.9354 -0.9142
P Zn Al
2 1 1
Cartesian
-0.7838 4.3703 -4.3147 P
-3.3365 2.7483 -2.7087 P
-5.0601 4.0270 -3.9688 Zn
-1.6867 1.3423 -1.3229 Al
```


Entry 11:
DFT (PBE) results for a relaxed structure of KCdB2Au.

V = 116.1 Å³/f.u.
DFT formation energy = 1.03 eV per atom

POSCAR file:
```
KCdB2Au
1.0
-0.9770 3.7121 -1.8519
-2.4800 -3.1383 -4.9822
-3.8043 -0.0430 1.9207
K B Au Cd
1 2 1 1
Cartesian
-1.2400 -1.5692 -2.4911 K
-1.9021 -0.0215 0.9604 B
-0.4885 1.8560 -0.9260 B
0.0000 0.0000 0.0000 Au
-3.6306 0.2654 -2.4567 Cd
```